No. 1
A relaxed MgTaCo2 crystal, computed with PBE-GGA.

a = 9.3691 Å, b = 2.7676 Å, c = 4.5123 Å
α = 90.00°, β = 105.67°, γ = 90.00°
Last column: nearest neighbours and their distance in Å.
Space group Cm (No. 8)
Unique sites:
Mg 0.0000 0.0000 0.0000 x2  7 Co 2.60-2.68, 2 Mg 2.77
Ta 0.2180 0.0000 0.6351 x2  7 Co 2.57-2.69, 2 Ta 2.77
Co 0.2525 0.5000 0.1576 x2  4 Co 2.51-2.77, 3 Mg 2.60-2.67, 4 Ta 2.65-2.68
Co 0.4619 0.0000 0.4763 x2  4 Co 2.51-2.77, 3 Ta 2.57-2.69, 4 Mg 2.66-2.68

Computed properties:
DOS(E_F)	4.12	states/eV/f.u.
electronic total energy	-54.9	eV/cell

No. 2
A relaxed MgTaCo crystal, computed with PBE-GGA.

a = 2.9334 Å, b = 2.9334 Å, c = 11.1701 Å
α = 90.00°, β = 90.00°, γ = 90.00°
Last column: nearest neighbours and their distance in Å.
Space group I4mm (No. 107)
Unique sites:
Mg 0.0000 0.0000 0.0000 x2  4 Co 2.72, 4 Mg 2.93
Ta 0.0000 0.0000 0.7111 x2  4 Co 2.54
Co 0.0000 0.0000 0.3420 x2  4 Ta 2.54, 4 Mg 2.72

Computed properties:
relative energy among the computed polymorphs	0	meV per atom
DOS(E_F)	2.35	states/eV/f.u.

No. 3
A relaxed MgTaCo crystal, computed with PBE-GGA.

a = 5.9103 Å, b = 5.9103 Å, c = 5.9103 Å
α = 90.00°, β = 90.00°, γ = 90.00°
Last column: nearest neighbours and their distance in Å.
Space group F-43m (No. 216)
Unique sites:
Mg 0.0000 0.0000 0.0000 x4  4 Co 2.56
Ta 0.0000 0.0000 0.5000 x4  4 Co 2.56
Co 0.2500 0.2500 0.2500 x4  4 Ta 2.56, 4 Mg 2.56

Computed properties:
relative energy among the computed polymorphs	281	meV per atom
DOS(E_F)	5.14	states/eV/f.u.

No. 4
A relaxed MgTaCo2 crystal, computed with PBE-GGA.

a = 2.7496 Å, b = 4.0413 Å, c = 5.0980 Å
α = 90.00°, β = 90.00°, γ = 90.00°
Last column: nearest neighbours and their distance in Å.
Space group Pmm2 (No. 25)
Unique sites:
Mg 0.0000 0.0000 0.0000 x1  6 Co 2.47-2.63, 2 Mg 2.75
Ta 0.5000 0.5000 0.3299 x1  6 Co 2.49-2.62, 2 Ta 2.75
Co 0.0000 0.0000 0.5157 x1  2 Mg 2.47-2.63, 4 Ta 2.62, 2 Co 2.75
Co 0.5000 0.5000 0.8175 x1  2 Ta 2.49-2.61, 4 Mg 2.62, 2 Co 2.75

Computed properties:
DOS(E_F)	3.53	states/eV/f.u.
electronic total energy	-27.0	eV/cell

No. 5
A relaxed MgTaCo2 crystal, computed with PBE-GGA.

a = 3.0556 Å, b = 3.0556 Å, c = 6.1492 Å
α = 90.00°, β = 90.00°, γ = 90.00°
Last column: nearest neighbours and their distance in Å.
Space group P4/mmm (No. 123)
Unique sites:
Mg 0.0000 0.0000 0.0000 x1  8 Co 2.74, 4 Mg 3.06
Ta 0.0000 0.0000 0.5000 x1  8 Co 2.57
Co 0.5000 0.5000 0.2743 x2  4 Ta 2.57, 4 Mg 2.74, 1 Co 2.78

Computed properties:
DOS(E_F)	2.75	states/eV/f.u.
electronic total energy	-28.3	eV/cell

No. 6
A relaxed MgTaCoTc crystal, computed with PBE-GGA.

a = 6.1928 Å, b = 6.1928 Å, c = 6.1928 Å
α = 90.00°, β = 90.00°, γ = 90.00°
Last column: nearest neighbours and their distance in Å.
Space group F-43m (No. 216)
Unique sites:
Mg 0.0000 0.0000 0.0000 x4  4 Co 2.68, 4 Tc 2.68
Ta 0.0000 0.0000 0.5000 x4  4 Co 2.68, 4 Tc 2.68
Co 0.2500 0.2500 0.2500 x4  4 Ta 2.68, 4 Mg 2.68
Tc 0.2500 0.2500 0.7500 x4  4 Ta 2.68, 4 Mg 2.68

Computed properties:
DOS(E_F)	4.35	states/eV/f.u.
electronic total energy	-124.5	eV/cell